[1]
ReNiOs: optimized geometry, PBE-GGA.

Its density of states at the Fermi level is 1.24 states/eV/atom. The value obtained for the formation energy is 571 meV/atom. The calculation puts the polymorph energy (0 for the lowest one) at 163 kJ/mol of formula units.

The space group is F-43m (No. 216) and the conventional cell measures 5.795, 5.795 and 5.795 Å, with angles of 90.00, 90.00 and 90.00 degrees. The asymmetric unit holds Re at (0.000, 0.000, 0.000), Ni at (0.250, 0.250, 0.250) and Os at (0.250, 0.250, 0.750).



[2]
MgCd4: optimized geometry, PBE-GGA.

Its density of states at the Fermi level is 0.41 states/eV/atom. The value obtained for the formation energy is -44 meV/atom.

The space group is I4/m (No. 87) and the conventional cell measures 6.977, 6.977 and 4.563 Å, with angles of 90.00, 90.00 and 90.00 degrees. The asymmetric unit holds Mg at (0.000, 0.000, 0.000) and Cd at (0.100, 0.298, 0.500).



[3]
Zn2AsRh: optimized geometry, PBE-GGA.

Its density of states at the Fermi level is 0.41 states/eV/atom. The value obtained for the formation energy is -148 meV/atom.

The space group is Imm2 (No. 44) and the conventional cell measures 3.890, 3.897 and 7.946 Å, with angles of 90.00, 90.00 and 90.00 degrees. The asymmetric unit holds Zn at (0.000, 0.000, 0.000), Zn at (0.000, 0.500, 0.250), As at (0.000, 0.000, 0.499) and Rh at (0.000, 0.500, 0.750).



[4]
CePrAgPd: optimized geometry, PBE-GGA.

Its density of states at the Fermi level is 2.37 states/eV/atom. The value obtained for the formation energy is -374 meV/atom.

The space group is F-43m (No. 216) and the conventional cell measures 7.369, 7.369 and 7.369 Å, with angles of 90.00, 90.00 and 90.00 degrees. The asymmetric unit holds Ce at (0.000, 0.000, 0.000), Pr at (0.000, 0.000, 0.500), Ag at (0.250, 0.250, 0.750) and Pd at (0.250, 0.250, 0.250).



[5]
MgCdAgAu: optimized geometry, PBE-GGA.

Its density of states at the Fermi level is 0.26 states/eV/atom. The value obtained for the formation energy is -297 meV/atom.

The space group is F-43m (No. 216) and the conventional cell measures 6.697, 6.697 and 6.697 Å, with angles of 90.00, 90.00 and 90.00 degrees. The asymmetric unit holds Mg at (0.000, 0.000, 0.000), Cd at (0.000, 0.000, 0.500), Ag at (0.250, 0.250, 0.750) and Au at (0.250, 0.250, 0.250).



[6]
YPuSeS: optimized geometry, PBE-GGA.

Its density of states at the Fermi level is 2.00 states/eV/atom. Its energy relative to the elements, uncorrected is -1.79 eV/atom.

The space group is R3m (No. 160, hexagonal axes) and the conventional cell measures 3.9980, 3.9980 and 20.0199 Å, with angles of 90.00, 90.00 and 120.00 degrees. The asymmetric unit holds Y at (0.0000, 0.0000, 0.0000), Pu at (0.0000, 0.0000, 0.4886), Se at (0.0000, 0.0000, 0.2459) and S at (0.0000, 0.0000, 0.7433).